<P>
The following is a DFT calculation (PBE) of InRe3Ge after structural relaxation.

The space group is Pm-3m (No. 221) and the conventional cell measures 4.875, 4.875 and 4.875 Å, with angles of 90.00, 90.00 and 90.00 degrees. The asymmetric unit holds In at (0.000, 0.000, 0.000), Re at (0.000, 0.000, 0.500) and Ge at (0.500, 0.500, 0.500).

The crystal system is cubic.

<Q>
The following is a DFT calculation (PBE) of InRe3Ge after structural relaxation.

The space group is Pm-3m (No. 221) and the conventional cell measures 4.580, 4.580 and 4.580 Å, with angles of 90.00, 90.00 and 90.00 degrees. The asymmetric unit holds In at (0.000, 0.000, 0.000), Re at (0.000, 0.500, 0.500) and Ge at (0.500, 0.500, 0.500).

The crystal system is cubic.

Structures ranked by computed energy, the most stable listed first: <Q>, <P>.

<P>
The following is a DFT calculation (PBE) of In3GeRh after structural relaxation.

The space group is Pm-3m (No. 221) and the conventional cell measures 5.169, 5.169 and 5.169 Å, with angles of 90.00, 90.00 and 90.00 degrees. The asymmetric unit holds In at (0.000, 0.000, 0.500), Ge at (0.000, 0.000, 0.000) and Rh at (0.500, 0.500, 0.500).

The crystal system is cubic.

<Q>
The following is a DFT calculation (PBE) of In3GeRh after structural relaxation.

The space group is Pm-3m (No. 221) and the conventional cell measures 5.107, 5.107 and 5.107 Å, with angles of 90.00, 90.00 and 90.00 degrees. The asymmetric unit holds In at (0.000, 0.000, 0.500), Ge at (0.500, 0.500, 0.500) and Rh at (0.000, 0.000, 0.000).

The crystal system is cubic.

Structures ranked by computed energy, the most stable listed first: <Q>, <P>.

<P>
The following is a DFT calculation (PBE) of InGeRh3 after structural relaxation.

The space group is Pm-3m (No. 221) and the conventional cell measures 4.840, 4.840 and 4.840 Å, with angles of 90.00, 90.00 and 90.00 degrees. The asymmetric unit holds In at (0.000, 0.000, 0.000), Ge at (0.500, 0.500, 0.500) and Rh at (0.000, 0.000, 0.500).

The crystal system is cubic.

<Q>
The following is a DFT calculation (PBE) of InGeRh3 after structural relaxation.

The space group is Pm-3m (No. 221) and the conventional cell measures 4.538, 4.538 and 4.538 Å, with angles of 90.00, 90.00 and 90.00 degrees. The asymmetric unit holds In at (0.000, 0.000, 0.000), Ge at (0.500, 0.500, 0.500) and Rh at (0.000, 0.500, 0.500).

The crystal system is cubic.

Structures ranked by computed energy, the most stable listed first: <Q>, <P>.

<P>
The following is a DFT calculation (PBE) of In3GeRu after structural relaxation.

The space group is Pm-3m (No. 221) and the conventional cell measures 5.207, 5.207 and 5.207 Å, with angles of 90.00, 90.00 and 90.00 degrees. The asymmetric unit holds In at (0.000, 0.000, 0.500), Ge at (0.000, 0.000, 0.000) and Ru at (0.500, 0.500, 0.500).

The crystal system is cubic.

<Q>
The following is a DFT calculation (PBE) of In3GeRu after structural relaxation.

The space group is Pm-3m (No. 221) and the conventional cell measures 5.137, 5.137 and 5.137 Å, with angles of 90.00, 90.00 and 90.00 degrees. The asymmetric unit holds In at (0.000, 0.000, 0.500), Ge at (0.500, 0.500, 0.500) and Ru at (0.000, 0.000, 0.000).

The crystal system is cubic.

Structures ranked by computed energy, the most stable listed first: <Q>, <P>.

<P>
The following is a DFT calculation (PBE) of InGeRu2W after structural relaxation.

The space group is P4/mmm (No. 123) and the conventional cell measures 4.764, 4.764 and 4.755 Å, with angles of 90.00, 90.00 and 90.00 degrees. The asymmetric unit holds In at (0.000, 0.000, 0.000), Ge at (0.000, 0.000, 0.500), Ru at (0.000, 0.500, 0.000) and W at (0.500, 0.500, 0.500).

The crystal system is tetragonal.

<Q>
The following is a DFT calculation (PBE) of InGeRu2W after structural relaxation.

The space group is P4/mmm (No. 123) and the conventional cell measures 4.450, 4.450 and 4.870 Å, with angles of 90.00, 90.00 and 90.00 degrees. The asymmetric unit holds In at (0.000, 0.000, 0.000), Ge at (0.000, 0.000, 0.500), Ru at (0.000, 0.500, 0.500) and W at (0.500, 0.500, 0.000).

The crystal system is tetragonal.

Structures ranked by computed energy, the most stable listed first: <Q>, <P>.

<P>
The following is a DFT calculation (PBE) of In2GeS after structural relaxation.

The space group is R3m (No. 160, hexagonal axes) and the conventional cell measures 3.7859, 3.7859 and 22.7442 Å, with angles of 90.00, 90.00 and 120.00 degrees. The asymmetric unit holds In at (0.0000, 0.0000, 0.0000), In at (0.0000, 0.0000, 0.1612), Ge at (0.0000, 0.0000, 0.5815) and S at (0.0000, 0.0000, 0.4081).

The crystal system is trigonal.

<Q>
The following is a DFT calculation (PBE) of In2GeS after structural relaxation.

The space group is I-42d (No. 122) and the conventional cell measures 6.089, 6.089 and 12.452 Å, with angles of 90.00, 90.00 and 90.00 degrees. The asymmetric unit holds In at (0.243, 0.250, 0.125), Ge at (0.000, 0.000, 0.000) and S at (0.000, 0.000, 0.500).

The crystal system is tetragonal.

<R>
The following is a DFT calculation (PBE) of In2GeS after structural relaxation.

The space group is R-3m (No. 166, hexagonal axes) and the conventional cell measures 4.2579, 4.2579 and 22.9680 Å, with angles of 90.00, 90.00 and 120.00 degrees. The asymmetric unit holds In at (0.0000, 0.0000, 0.1042), Ge at (0.0000, 0.0000, 0.5000) and S at (0.0000, 0.0000, 0.0000).

The crystal system is trigonal.

Structures ranked by computed energy, the most stable listed first: <Q>, <P>, <R>.